Li8MnO6: optimized geometry, PBE+U.

The space group is R-3 (No. 148, hexagonal axes) and the conventional cell measures 5.4041, 5.4041 and 14.8723 Å, with angles of 90.00, 90.00 and 120.00 degrees. The asymmetric unit holds Li at (0.0000, 0.0000, 0.1587), Li at (0.0189, 0.6461, 0.3828), Mn at (0.0000, 0.0000, 0.5000) and O at (0.0122, 0.7052, 0.5774).

The distance to the lowest polymorph of the same formula is 0.00 eV per formula unit. The value obtained for the total energy is -5.296 eV/atom. As for the density: 2.73 g cm⁻³. For the magnetization, the calculation gives 8.80 μB/cell.